# 1
First-principles (GGA-PBE) data for a relaxed LiSm2InO crystal, as listed in Alexandria via LeMat-Bulk.

## Properties
Formation energy from raw total energies = -1383.2 meV per atom
Energy = -25.96 eV/cell

Lattice parameters (Å, degrees): 4.9188 4.9188 4.3521 90.00 90.00 90.00
Last column: nearest neighbours and their distance in Å.
Space group P4/mmm (No. 123)
One atom of each set of equivalent atoms:
Li 0.0000 0.0000 0.0000 x1  2 O 2.18
Sm 0.0000 0.5000 0.5000 x2  2 O 2.46
In 0.5000 0.5000 0.0000 x1  8 Sm 3.28, 4 Li 3.48
O 0.0000 0.0000 0.5000 x1  2 Li 2.18

# 2
First-principles (GGA-PBE) data for a relaxed ScTiClF2 crystal, as listed in Alexandria via LeMat-Bulk.

## Properties
Formation energy from raw total energies = -553.0 meV per atom
Energy = -22.58 eV/cell

Lattice parameters (Å, degrees): 5.0104 5.0104 4.3193 90.00 90.00 90.00
Last column: nearest neighbours and their distance in Å.
Space group P4/mmm (No. 123)
One atom of each set of equivalent atoms:
Sc 0.0000 0.0000 0.0000 x1  8 F 3.31, 4 Ti 3.54
Ti 0.5000 0.5000 0.0000 x1  2 Cl 2.16
Cl 0.5000 0.5000 0.5000 x1  2 Ti 2.16
F 0.0000 0.5000 0.5000 x2  2 Cl 2.51